Pd2NO2 | GGA-PBE | optimized geometry

It has space group P4/mbm (No. 127), with a = 6.012 Å, b = 6.012 Å, c = 3.170 Å, α = 90.00°, β = 90.00° and γ = 90.00°. The distinct sites, in fractional coordinates, are Pd at (0.212, 0.288, 0.000), N at (0.000, 0.000, 0.000) and O at (0.136, 0.636, 0.500).

The raw total energy comes out at -49.61 eV per cell. The magnetic moment is 0.172 μB/atom. The density of states at the Fermi level comes out at 0.691 states/eV per atom.